Density functional theory data (PBE) for a geometry-optimized MgSnHg2 structure.

Output
E_form in eV per atom: -0.061
Magnetization in Bohr magnetons per cell: 0.000
Calculated volume in Å³/f.u.: 98.4

Geometry as CIF:
```
data_MgSnHg2
_chemical_formula_sum 'Mg3 Sn3 Hg6'
_space_group_name_H-M_alt 'R 3 m'
_space_group_IT_number 160
_space_group_name_Hall 'R 3 -2"'
_cell_length_a 3.5608
_cell_length_b 3.5608
_cell_length_c 26.8767
_cell_angle_alpha 90.00
_cell_angle_beta 90.00
_cell_angle_gamma 120.00
loop_
_atom_site_label
_atom_site_type_symbol
_atom_site_fract_x
_atom_site_fract_y
_atom_site_fract_z
_atom_site_occupancy
Mg1 Mg 0.0000 0.0000 0.0000 1
Sn1 Sn 0.0000 0.0000 0.8339 1
Hg1 Hg 0.0000 0.0000 0.4110 1
Hg2 Hg 0.0000 0.0000 0.5896 1
```

---

Density functional theory data (PBE) for a geometry-optimized Mg5SnHg4 structure.

Output
E_form in eV per atom: -0.195
Magnetization in Bohr magnetons per cell: 0.000
Calculated volume in Å³/f.u.: 219.6

Geometry as CIF:
```
data_Mg5SnHg4
_chemical_formula_sum 'Mg5 Sn1 Hg4'
_space_group_name_H-M_alt 'P 4/m m m'
_space_group_IT_number 123
_space_group_name_Hall '-P 4 2'
_cell_length_a 3.5771
_cell_length_b 3.5771
_cell_length_c 17.1653
_cell_angle_alpha 90.00
_cell_angle_beta 90.00
_cell_angle_gamma 90.00
loop_
_atom_site_label
_atom_site_type_symbol
_atom_site_fract_x
_atom_site_fract_y
_atom_site_fract_z
_atom_site_occupancy
Mg1 Mg 0.0000 0.0000 0.0000 1
Mg2 Mg 0.0000 0.0000 0.1926 1
Mg3 Mg 0.0000 0.0000 0.3862 1
Sn1 Sn 0.5000 0.5000 0.5000 1
Hg1 Hg 0.5000 0.5000 0.0973 1
Hg2 Hg 0.5000 0.5000 0.2918 1
```

---

- What is the E_form in the first record?
  -0.061 eV per atom